# CaTlBr4 (GGA-PBE, relaxed)
# spin magnetization = 0.00 Bohr magnetons per cell
# raw formation energy = -1261.2 meV per atom
data_CaTlBr4
_chemical_formula_sum 'Ca1 Tl1 Br4'
_space_group_name_H-M_alt 'P 1 2/m 1'
_space_group_IT_number 10
_cell_length_a 6.939
_cell_length_b 4.308
_cell_length_c 7.522
_cell_angle_alpha 90.00
_cell_angle_beta 91.08
_cell_angle_gamma 90.00
loop_
_space_group_symop_operation_xyz
'x,y,z'
'-x,-y,-z'
'-x,y,-z'
'x,-y,z'
loop_
_atom_site_label
_atom_site_type_symbol
_atom_site_fract_x
_atom_site_fract_y
_atom_site_fract_z
Ca1 Ca 0.000 0.000 0.000
Tl1 Tl 0.000 0.500 0.500
Br1 Br 0.231 0.500 0.848
Br2 Br 0.239 0.000 0.324

# Sc2GeAs (GGA-PBE, relaxed)
# spin magnetization = 0.00 Bohr magnetons per cell
# formation energy = -0.670 eV/atom
data_Sc2GeAs
_chemical_formula_sum 'Sc8 Ge4 As4'
_space_group_name_H-M_alt 'F m -3 m'
_space_group_IT_number 225
_space_group_name_Hall '-F 4 2 3'
_cell_length_a 6.790
_cell_length_b 6.790
_cell_length_c 6.790
_cell_angle_alpha 90.00
_cell_angle_beta 90.00
_cell_angle_gamma 90.00
loop_
_atom_site_label
_atom_site_type_symbol
_atom_site_fract_x
_atom_site_fract_y
_atom_site_fract_z
Sc1 Sc 0.250 0.250 0.250
Ge1 Ge 0.000 0.000 0.000
As1 As 0.000 0.000 0.500

# Be3TlHg (GGA-PBE, relaxed)
# spin magnetization = 0.00 Bohr magnetons per cell
# formation energy = 1.092 eV/atom
data_Be3TlHg
_chemical_formula_sum 'Be3 Tl1 Hg1'
_space_group_name_H-M_alt 'P m -3 m'
_space_group_IT_number 221
_space_group_name_Hall '-P 4 2 3'
_cell_length_a 4.638
_cell_length_b 4.638
_cell_length_c 4.638
_cell_angle_alpha 90.00
_cell_angle_beta 90.00
_cell_angle_gamma 90.00
loop_
_atom_site_label
_atom_site_type_symbol
_atom_site_fract_x
_atom_site_fract_y
_atom_site_fract_z
Be1 Be 0.000 0.000 0.500
Tl1 Tl 0.000 0.000 0.000
Hg1 Hg 0.500 0.500 0.500

# NbAl2Pd (GGA-PBE, relaxed)
# spin magnetization = 0.00 Bohr magnetons per cell
# formation energy = -0.128 eV/atom
data_NbAl2Pd
_chemical_formula_sum 'Nb4 Al8 Pd4'
_space_group_name_H-M_alt 'I -4 2 d'
_space_group_IT_number 122
_space_group_name_Hall 'I -4 2bw'
_cell_length_a 7.007
_cell_length_b 7.007
_cell_length_c 5.639
_cell_angle_alpha 90.00
_cell_angle_beta 90.00
_cell_angle_gamma 90.00
loop_
_atom_site_label
_atom_site_type_symbol
_atom_site_fract_x
_atom_site_fract_y
_atom_site_fract_z
Nb1 Nb 0.000 0.000 0.000
Al1 Al 0.220 0.250 0.625
Pd1 Pd 0.000 0.000 0.500

# B2C (GGA-PBE, relaxed)
# spin magnetization = 0.00 Bohr magnetons per cell
# formation energy = 0.385 eV/atom
data_B2C
_chemical_formula_sum 'B16 C8'
_space_group_name_H-M_alt 'C 1 m 1'
_space_group_IT_number 8
_cell_length_a 8.355
_cell_length_b 2.754
_cell_length_c 7.290
_cell_angle_alpha 90.00
_cell_angle_beta 108.25
_cell_angle_gamma 90.00
loop_
_space_group_symop_operation_xyz
'x,y,z'
'x,-y,z'
'x+1/2,y+1/2,z'
'x+1/2,-y+1/2,z'
loop_
_atom_site_label
_atom_site_type_symbol
_atom_site_fract_x
_atom_site_fract_y
_atom_site_fract_z
B1 B 0.000 0.000 0.000
B2 B 0.020 0.000 0.431
B3 B 0.086 0.500 0.303
B4 B 0.135 0.000 0.860
B5 B 0.230 0.000 0.385
B6 B 0.266 0.000 0.114
B7 B 0.303 0.500 0.280
B8 B 0.355 0.500 0.722
C1 C 0.040 0.500 0.570
C2 C 0.177 0.500 0.763
C3 C 0.369 0.000 0.600
C4 C 0.453 0.000 0.086

# TlCu4Au (GGA-PBE, relaxed)
# spin magnetization = 0.00 Bohr magnetons per cell
# formation energy = 0.118 eV/atom
data_TlCu4Au
_chemical_formula_sum 'Tl4 Cu16 Au4'
_space_group_name_H-M_alt 'F -4 3 m'
_space_group_IT_number 216
_space_group_name_Hall 'F -4 2 3'
_cell_length_a 7.150
_cell_length_b 7.150
_cell_length_c 7.150
_cell_angle_alpha 90.00
_cell_angle_beta 90.00
_cell_angle_gamma 90.00
loop_
_atom_site_label
_atom_site_type_symbol
_atom_site_fract_x
_atom_site_fract_y
_atom_site_fract_z
Tl1 Tl 0.000 0.000 0.000
Cu1 Cu 0.125 0.125 0.375
Au1 Au 0.250 0.250 0.750

# Cu3HI (GGA-PBE, relaxed)
# spin magnetization = 0.00 Bohr magnetons per cell
# E_tot = -2.91 eV per atom
data_Cu3HI
_chemical_formula_sum 'Cu3 H1 I1'
_space_group_name_H-M_alt 'P m -3 m'
_space_group_IT_number 221
_space_group_name_Hall '-P 4 2 3'
_cell_length_a 4.127
_cell_length_b 4.127
_cell_length_c 4.127
_cell_angle_alpha 90.00
_cell_angle_beta 90.00
_cell_angle_gamma 90.00
loop_
_atom_site_label
_atom_site_type_symbol
_atom_site_fract_x
_atom_site_fract_y
_atom_site_fract_z
Cu1 Cu 0.000 0.000 0.500
H1 H 0.000 0.000 0.000
I1 I 0.500 0.500 0.500

# BePd4Br2 (GGA-PBE, relaxed)
# spin magnetization = 0.00 Bohr magnetons per cell
# raw formation energy = 143.2 meV per atom
data_BePd4Br2
_chemical_formula_sum 'Be2 Pd8 Br4'
_space_group_name_H-M_alt 'I 4/m m m'
_space_group_IT_number 139
_space_group_name_Hall '-I 4 2'
_cell_length_a 4.378
_cell_length_b 4.378
_cell_length_c 13.590
_cell_angle_alpha 90.00
_cell_angle_beta 90.00
_cell_angle_gamma 90.00
loop_
_atom_site_label
_atom_site_type_symbol
_atom_site_fract_x
_atom_site_fract_y
_atom_site_fract_z
Be1 Be 0.000 0.000 0.000
Pd1 Pd 0.000 0.000 0.156
Pd2 Pd 0.000 0.500 0.000
Br1 Br 0.000 0.000 0.355

# CsTa2NbPt (GGA-PBE, relaxed)
# spin magnetization = 0.10 Bohr magnetons per cell
# formation energy = 1.458 eV/atom
data_CsTa2NbPt
_chemical_formula_sum 'Cs1 Ta2 Nb1 Pt1'
_space_group_name_H-M_alt 'P 4/m m m'
_space_group_IT_number 123
_space_group_name_Hall '-P 4 2'
_cell_length_a 5.084
_cell_length_b 5.084
_cell_length_c 5.223
_cell_angle_alpha 90.00
_cell_angle_beta 90.00
_cell_angle_gamma 90.00
loop_
_atom_site_label
_atom_site_type_symbol
_atom_site_fract_x
_atom_site_fract_y
_atom_site_fract_z
Cs1 Cs 0.000 0.000 0.000
Ta1 Ta 0.000 0.500 0.500
Nb1 Nb 0.500 0.500 0.000
Pt1 Pt 0.500 0.500 0.500

# Al2InSF (GGA-PBE, relaxed)
# spin magnetization = 0.00 Bohr magnetons per cell
# raw formation energy = -217.2 meV per atom
data_Al2InSF
_chemical_formula_sum 'Al2 In1 S1 F1'
_space_group_name_H-M_alt 'P 4/m m m'
_space_group_IT_number 123
_space_group_name_Hall '-P 4 2'
_cell_length_a 4.538
_cell_length_b 4.538
_cell_length_c 5.342
_cell_angle_alpha 90.00
_cell_angle_beta 90.00
_cell_angle_gamma 90.00
loop_
_atom_site_label
_atom_site_type_symbol
_atom_site_fract_x
_atom_site_fract_y
_atom_site_fract_z
Al1 Al 0.000 0.500 0.000
In1 In 0.000 0.000 0.500
S1 S 0.500 0.500 0.500
F1 F 0.000 0.000 0.000

# La7SbSe5 (GGA-PBE, relaxed)
# spin magnetization = 0.37 Bohr magnetons per cell
# raw formation energy = -1739.9 meV per atom
data_La7SbSe5
_chemical_formula_sum 'La28 Sb4 Se20'
_space_group_name_H-M_alt 'C 1 2/m 1'
_space_group_IT_number 12
_cell_length_a 14.232
_cell_length_b 4.337
_cell_length_c 25.471
_cell_angle_alpha 90.00
_cell_angle_beta 90.01
_cell_angle_gamma 90.00
loop_
_space_group_symop_operation_xyz
'x,y,z'
'-x,-y,-z'
'-x,y,-z'
'x,-y,z'
'x+1/2,y+1/2,z'
'-x+1/2,-y+1/2,-z'
'-x+1/2,y+1/2,-z'
'x+1/2,-y+1/2,z'
loop_
_atom_site_label
_atom_site_type_symbol
_atom_site_fract_x
_atom_site_fract_y
_atom_site_fract_z
La1 La 0.028 0.000 0.250
La2 La 0.093 0.500 0.113
La3 La 0.093 0.500 0.387
La4 La 0.137 0.000 0.536
La5 La 0.137 0.000 0.964
La6 La 0.185 0.500 0.678
La7 La 0.185 0.500 0.822
Sb1 Sb 0.194 0.500 0.250
Se1 Se 0.000 0.500 0.000
Se2 Se 0.000 0.500 0.500
Se3 Se 0.048 0.000 0.642
Se4 Se 0.048 0.000 0.858
Se5 Se 0.226 0.000 0.072
Se6 Se 0.226 0.000 0.428

# Ac3Pr12Y (GGA-PBE, relaxed)
# spin magnetization = 0.00 Bohr magnetons per cell
# formation energy = 0.018 eV/atom
data_Ac3Pr12Y
_chemical_formula_sum 'Ac3 Pr12 Y1'
_space_group_name_H-M_alt 'P 4/m m m'
_space_group_IT_number 123
_space_group_name_Hall '-P 4 2'
_cell_length_a 5.318
_cell_length_b 5.318
_cell_length_c 21.200
_cell_angle_alpha 90.00
_cell_angle_beta 90.00
_cell_angle_gamma 90.00
loop_
_atom_site_label
_atom_site_type_symbol
_atom_site_fract_x
_atom_site_fract_y
_atom_site_fract_z
Ac1 Ac 0.000 0.000 0.000
Ac2 Ac 0.000 0.000 0.253
Pr1 Pr 0.000 0.500 0.126
Pr2 Pr 0.000 0.500 0.380
Pr3 Pr 0.500 0.500 0.000
Pr4 Pr 0.500 0.500 0.254
Pr5 Pr 0.500 0.500 0.500
Y1 Y 0.000 0.000 0.500